{"formula": "Rb2TlBr4", "functional": "GGA-PBE", "state": "relaxed", "relative_energy_mev_per_atom": 0.0, "dos_ef_per_ev_fu": 4.06, "volume_a3_per_cell": 567, "raw_formation_energy_ev_per_atom": -1.233, "lattice": [[8.538, 0.000, 0.000], [0.000, 13.519, 0.000], [0.000, 0.000, 4.909]], "species": ["Rb", "Rb", "Rb", "Rb", "Tl", "Tl", "Br", "Br", "Br", "Br", "Br", "Br", "Br", "Br"], "frac_coords": [[0.084, 0.182, 0.000], [0.416, 0.682, 0.000], [0.584, 0.318, 0.000], [0.916, 0.818, 0.000], [0.000, 0.500, 0.500], [0.500, 0.000, 0.500], [0.134, 0.703, 0.500], [0.212, 0.448, 0.000], [0.288, 0.948, 0.000], [0.366, 0.203, 0.500], [0.634, 0.797, 0.500], [0.712, 0.052, 0.000], [0.788, 0.552, 0.000], [0.866, 0.297, 0.500]]}